[1]
Computed, not measured: a relaxed structure of GaSnRh4 at the PBE level of DFT.

magnetic moment = 0.0 Bohr magnetons per cell
SG = C2/m, No. 12

Cell lengths 4.1687, 4.1731, 6.0202 Å; angles 89.92, 89.95, 90.00 degrees
Last column: nearest neighbours and their distance in Å.
Element x y z (fractional)
Rh1 0.5012 0.9979 0.7327  2 Ga 2.52, 2 Sn 2.63
Ga1 0.0014 0.9971 0.4981  8 Rh 2.52
Rh2 0.0010 0.4975 0.2640  2 Ga 2.52, 2 Sn 2.63, 1 Rh 2.82
Sn1 0.5012 0.4975 0.9981  8 Rh 2.63
Rh3 0.5015 0.9970 0.2636  2 Ga 2.52, 2 Sn 2.63
Rh4 0.0014 0.4968 0.7323  2 Ga 2.52, 2 Sn 2.63

[2]
Computed, not measured: a relaxed structure of GaSnRh2 at the PBE level of DFT.

magnetic moment = 0.0 Bohr magnetons per cell
SG = Fm-3m, No. 225

Cell lengths 4.4745, 4.4745, 4.4745 Å; angles 60.00, 60.00, 60.00 degrees
Last column: nearest neighbours and their distance in Å.
Element x y z (fractional)
Ga1 0.0000 0.0000 0.0000  8 Rh 2.74
Rh1 0.7500 0.7500 0.7500  4 Sn 2.74, 4 Ga 2.74
Rh2 0.2500 0.2500 0.2500  4 Sn 2.74, 4 Ga 2.74
Sn1 0.5000 0.5000 0.5000  8 Rh 2.74

no.,calculated volume (Å³ per cell),uncorrected energy (eV per cell),calculated formation energy (eV/atom)
1,104.7,-37.164,-0.12
2,63.3,-23.602,-0.47